First-principles (PBE) data for a relaxed CaFeOs2 crystal, as listed in Alexandria.

Lattice parameters (Å, degrees): 4.4187 4.4187 4.4187 60.00 60.00 60.00
With the nearest neighbours (Å) after each atom.
Sites, in units of the cell vectors:
Ca 0.0000 0.0000 0.0000  8 Os 2.71
Os 0.2500 0.2500 0.2500  4 Fe 2.71, 4 Ca 2.71
Os 0.7500 0.7500 0.7500  4 Fe 2.71, 4 Ca 2.71
Fe 0.5000 0.5000 0.5000  8 Os 2.71

Results
- Energy of formation from the pure elements: 1.01 eV/atom
- Total magnetic moment: 0.000 μB/f.u.
- Theoretical density: 12.97 g/cm3
- Energy above the most stable polymorph in this dataset: 0.583 eV per atom
- Symmetry: No. 225


First-principles (PBE) data for a relaxed CaFeOs2 crystal, as listed in Alexandria.

Lattice parameters (Å, degrees): 7.4493 7.4493 5.8341 50.33 50.33 90.00
With the nearest neighbours (Å) after each atom.
Sites, in units of the cell vectors:
Ca 0.5000 0.5000 0.0000  2 Fe 2.51
Ca 0.2500 0.7500 0.5000  2 Fe 2.51
Os 0.6895 0.1250 0.2500  2 Fe 2.40, 2 Os 2.69
Os 0.0605 0.6250 0.2500  2 Fe 2.40, 2 Os 2.69
Os 0.3750 0.3105 0.7500  2 Fe 2.40, 2 Os 2.69
Os 0.8750 0.9395 0.7500  2 Fe 2.40, 2 Os 2.69
Fe 0.0000 0.0000 0.0000  4 Os 2.40, 2 Ca 2.51
Fe 0.7500 0.2500 0.5000  4 Os 2.40, 2 Ca 2.51

Results
- Energy of formation from the pure elements: 0.81 eV/atom
- Total magnetic moment: 1.622 μB/f.u.
- Theoretical density: 11.37 g/cm3
- Energy above the most stable polymorph in this dataset: 0.381 eV per atom
- Symmetry: No. 122


First-principles (PBE) data for a relaxed CaFeOs2 crystal, as listed in Alexandria.

Lattice parameters (Å, degrees): 4.3247 3.8594 3.8594 90.00 90.00 90.00
With the nearest neighbours (Å) after each atom.
Sites, in units of the cell vectors:
Ca 0.5000 0.5000 0.0000  4 Fe 2.73, 8 Os 2.90
Os 0.0000 0.0000 0.0000  4 Os 2.73, 4 Fe 2.90, 4 Ca 2.90
Os 0.0000 0.5000 0.5000  4 Os 2.73, 4 Fe 2.90, 4 Ca 2.90
Fe 0.5000 0.0000 0.5000  4 Ca 2.73, 8 Os 2.90

Results
- Energy of formation from the pure elements: 0.78 eV/atom
- Total magnetic moment: 2.543 μB/f.u.
- Theoretical density: 12.28 g/cm3
- Energy above the most stable polymorph in this dataset: 0.356 eV per atom
- Symmetry: No. 123


First-principles (PBE) data for a relaxed Ca2FeOs crystal, as listed in Alexandria.

Lattice parameters (Å, degrees): 5.3560 5.3560 5.3560 133.42 133.30 68.09
With the nearest neighbours (Å) after each atom.
Sites, in units of the cell vectors:
Ca 0.0000 0.0000 0.0000  4 Ca 3.00, 4 Fe 3.07, 4 Os 3.07
Ca 0.5000 0.5000 0.0000  4 Ca 3.00, 4 Fe 3.07, 4 Os 3.07
Os 0.2500 0.7500 0.5000  4 Fe 3.00, 8 Ca 3.07
Fe 0.7500 0.2500 0.5000  4 Os 3.00, 8 Ca 3.07

Results
- Energy of formation from the pure elements: 0.70 eV/atom
- Total magnetic moment: 3.332 μB/f.u.
- Theoretical density: 6.79 g/cm3
- Energy above the most stable polymorph in this dataset: 0.550 eV per atom
- Symmetry: No. 71


First-principles (PBE) data for a relaxed Ca2FeOs2 crystal, as listed in Alexandria.

Lattice parameters (Å, degrees): 6.3201 6.3201 4.8561 90.00 90.00 90.00
With the nearest neighbours (Å) after each atom.
Sites, in units of the cell vectors:
Ca 0.1785 0.6785 0.5000  6 Os 2.95-3.14, 5 Ca 3.19-3.29
Ca 0.6785 0.8215 0.5000  6 Os 2.95-3.14, 5 Ca 3.19-3.29
Ca 0.8215 0.3215 0.5000  6 Os 2.95-3.14, 5 Ca 3.19-3.29
Ca 0.3215 0.1785 0.5000  6 Os 2.95-3.14, 5 Ca 3.19-3.29
Os 0.3663 0.8663 0.0000  1 Os 2.39, 2 Fe 2.46
Os 0.8663 0.6337 0.0000  1 Os 2.39, 2 Fe 2.46
Os 0.6337 0.1337 0.0000  1 Os 2.39, 2 Fe 2.46
Os 0.1337 0.3663 0.0000  1 Os 2.39, 2 Fe 2.46
Fe 0.0000 0.0000 0.0000  4 Os 2.46
Fe 0.5000 0.5000 0.0000  4 Os 2.46

Results
- Energy of formation from the pure elements: 0.38 eV/atom
- Total magnetic moment: 0.000 μB/f.u.
- Theoretical density: 8.84 g/cm3
- Symmetry: No. 127


First-principles (PBE) data for a relaxed CaFeOs2 crystal, as listed in Alexandria.

Lattice parameters (Å, degrees): 5.0158 5.4113 2.6959 77.92 85.06 116.23
With the nearest neighbours (Å) after each atom.
Sites, in units of the cell vectors:
Ca 0.0000 0.5000 0.5000  2 Ca 2.70, 4 Fe 2.74-2.95, 4 Os 2.76
Os 0.0000 0.0000 0.0000  6 Os 2.70-2.95, 2 Ca 2.76, 2 Fe 2.76
Os 0.5000 0.0000 0.5000  6 Os 2.70-2.95, 2 Fe 2.76, 2 Ca 2.76
Fe 0.5000 0.5000 0.0000  2 Fe 2.70, 4 Ca 2.74-2.95, 4 Os 2.76

Results
- Energy of formation from the pure elements: 0.62 eV/atom
- Total magnetic moment: 2.728 μB/f.u.
- Theoretical density: 12.59 g/cm3
- Energy above the most stable polymorph in this dataset: 0.192 eV per atom
- Symmetry: No. 12


First-principles (PBE) data for a relaxed CaFeOs2 crystal, as listed in Alexandria.

Lattice parameters (Å, degrees): 5.5468 5.5468 5.5468 149.62 129.44 60.14
With the nearest neighbours (Å) after each atom.
Sites, in units of the cell vectors:
Ca 0.4983 0.4983 0.0000  6 Os 2.78-3.06, 2 Ca 2.91, 2 Fe 3.03
Os 0.0016 0.0016 0.0000  2 Fe 2.56, 2 Os 2.58, 4 Ca 2.78
Os 0.7791 0.2791 0.5000  2 Os 2.58, 4 Fe 2.83
Fe 0.2210 0.7210 0.5000  6 Os 2.56-2.83

Results
- Energy of formation from the pure elements: 0.60 eV/atom
- Total magnetic moment: 2.912 μB/f.u.
- Theoretical density: 11.97 g/cm3
- Energy above the most stable polymorph in this dataset: 0.171 eV per atom
- Symmetry: No. 44


First-principles (PBE) data for a relaxed CaFeOs2 crystal, as listed in Alexandria.

Lattice parameters (Å, degrees): 2.9092 4.6322 4.6902 90.00 90.00 90.00
With the nearest neighbours (Å) after each atom.
Sites, in units of the cell vectors:
Ca 0.5000 0.0000 0.5000  4 Fe 2.73, 4 Os 2.76, 2 Ca 2.91
Os 0.0000 0.0000 0.0000  6 Os 2.73-2.91, 4 Ca 2.76
Os 0.5000 0.5000 0.0000  6 Os 2.73-2.91, 4 Fe 2.76
Fe 0.0000 0.5000 0.5000  4 Ca 2.73, 4 Os 2.76, 2 Fe 2.91

Results
- Energy of formation from the pure elements: 0.62 eV/atom
- Total magnetic moment: 2.836 μB/f.u.
- Theoretical density: 12.52 g/cm3
- Energy above the most stable polymorph in this dataset: 0.195 eV per atom
- Symmetry: No. 47